No. 1
The following is a DFT calculation (PBE) of a relaxed HoPuAl crystal.

The structure in CIF format:
```
data_HoPuAl
_space_group_name_H-M_alt 'P 1'
_space_group_IT_number 1
_space_group_name_Hall 'P 1'
_cell_length_a 3.2343
_cell_length_b 5.1096
_cell_length_c 5.1096
_cell_angle_alpha 120.00
_cell_angle_beta 90.00
_cell_angle_gamma 90.00
loop_
_atom_site_label
_atom_site_fract_x
_atom_site_fract_y
_atom_site_fract_z
Al1 0.3402 0.6667 0.3333
Ho1 0.6304 0.3333 0.6667
Pu1 0.0294 0.0000 0.0000
```

Its crystal system is trigonal. The value obtained for the offset from the most stable computed form is 0.043 eV per atom. Its formation energy is -48 meV per atom.

***

No. 2
The following is a DFT calculation (PBE) of a relaxed AlZnTc crystal.

The structure in CIF format:
```
data_AlZnTc
_space_group_name_H-M_alt 'P 1'
_space_group_IT_number 1
_space_group_name_Hall 'P 1'
_cell_length_a 5.3390
_cell_length_b 7.4654
_cell_length_c 4.2920
_cell_angle_alpha 90.00
_cell_angle_beta 90.00
_cell_angle_gamma 90.00
loop_
_atom_site_label
_atom_site_fract_x
_atom_site_fract_y
_atom_site_fract_z
Zn1 0.0000 0.6621 0.0000
Zn2 0.0000 0.3379 0.0000
Zn3 0.5000 0.1621 0.5000
Zn4 0.5000 0.8379 0.5000
Tc1 0.7543 0.0000 0.0000
Tc2 0.2457 0.0000 0.0000
Tc3 0.2543 0.5000 0.5000
Tc4 0.7457 0.5000 0.5000
Al1 0.0000 0.1722 0.5000
Al2 0.0000 0.8278 0.5000
Al3 0.5000 0.6722 0.0000
Al4 0.5000 0.3278 0.0000
```

Its crystal system is orthorhombic. The value obtained for the offset from the most stable computed form is 0.034 eV per atom. Its formation energy is -138 meV per atom.

***

No. 3
The following is a DFT calculation (PBE) of a relaxed HfH3Ru crystal.

The structure in CIF format:
```
data_HfH3Ru
_space_group_name_H-M_alt 'P 1'
_space_group_IT_number 1
_space_group_name_Hall 'P 1'
_cell_length_a 3.1341
_cell_length_b 3.1341
_cell_length_c 5.0441
_cell_angle_alpha 108.10
_cell_angle_beta 108.10
_cell_angle_gamma 90.00
loop_
_atom_site_label
_atom_site_fract_x
_atom_site_fract_y
_atom_site_fract_z
Hf1 0.9491 0.9491 0.8983
H1 0.2689 0.7689 0.5377
H2 0.7689 0.2689 0.5377
H3 0.4529 0.4529 0.9058
Ru1 0.6505 0.6505 0.3009
```

Its crystal system is tetragonal.

***

No. 4
The following is a DFT calculation (PBE) of a relaxed KBPb crystal.

The structure in CIF format:
```
data_KBPb
_space_group_name_H-M_alt 'P 1'
_space_group_IT_number 1
_space_group_name_Hall 'P 1'
_cell_length_a 7.0599
_cell_length_b 3.9454
_cell_length_c 12.9753
_cell_angle_alpha 90.00
_cell_angle_beta 90.00
_cell_angle_gamma 90.00
loop_
_atom_site_label
_atom_site_fract_x
_atom_site_fract_y
_atom_site_fract_z
Pb1 0.3209 0.2500 0.4513
Pb2 0.1791 0.7500 0.9513
Pb3 0.6791 0.7500 0.5487
Pb4 0.8209 0.2500 0.0487
K1 0.8386 0.2500 0.3250
K2 0.6614 0.7500 0.8250
K3 0.1614 0.7500 0.6750
K4 0.3386 0.2500 0.1750
B1 0.0113 0.2500 0.8876
B2 0.4887 0.7500 0.3876
B3 0.9887 0.7500 0.1124
B4 0.5113 0.2500 0.6124
```

Its crystal system is orthorhombic. The value obtained for the offset from the most stable computed form is 0.601 eV per atom. Its formation energy is 739 meV per atom.

***

No. 5
The following is a DFT calculation (PBE) of a relaxed LiTmPbSe3 crystal.

The structure in CIF format:
```
data_LiTmPbSe3
_space_group_name_H-M_alt 'P 1'
_space_group_IT_number 1
_space_group_name_Hall 'P 1'
_cell_length_a 4.1148
_cell_length_b 8.5581
_cell_length_c 8.9730
_cell_angle_alpha 103.33
_cell_angle_beta 90.00
_cell_angle_gamma 90.00
loop_
_atom_site_label
_atom_site_fract_x
_atom_site_fract_y
_atom_site_fract_z
Li1 0.2500 0.0838 0.5859
Li2 0.7500 0.9162 0.4141
Tm1 0.2500 0.6695 0.1641
Tm2 0.7500 0.3305 0.8359
Pb1 0.2500 0.1887 0.2381
Pb2 0.7500 0.8113 0.7619
Se1 0.7500 0.8881 0.1283
Se2 0.2500 0.1119 0.8717
Se3 0.2500 0.7785 0.4853
Se4 0.7500 0.2215 0.5147
Se5 0.7500 0.4380 0.1636
Se6 0.2500 0.5620 0.8364
```

Its crystal system is monoclinic. The calculation puts the raw formation energy at -1.240 eV per atom.

***

No. 6
The following is a DFT calculation (PBE) of a relaxed Tl2Ir crystal.

The structure in CIF format:
```
data_Tl2Ir
_space_group_name_H-M_alt 'P 1'
_space_group_IT_number 1
_space_group_name_Hall 'P 1'
_cell_length_a 4.8025
_cell_length_b 4.8025
_cell_length_c 6.7865
_cell_angle_alpha 90.00
_cell_angle_beta 90.00
_cell_angle_gamma 120.00
loop_
_atom_site_label
_atom_site_fract_x
_atom_site_fract_y
_atom_site_fract_z
Tl1 0.0000 0.0000 0.0000
Tl2 0.0000 0.0000 0.5000
Tl3 0.3333 0.6667 0.7500
Tl4 0.6667 0.3333 0.2500
Ir1 0.3333 0.6667 0.2500
Ir2 0.6667 0.3333 0.7500
```

Its crystal system is hexagonal. Its formation energy is 643 meV per atom.

***

Number 1: Fermi-level density of states 6.0 states/eV per cell, VASP energy -7.599 eV per atom, magnetic moment 5.9 μB/f.u.. Number 2: Fermi-level density of states 6.8 states/eV per cell, VASP energy -5.265 eV per atom, magnetic moment 0.0 μB/f.u.. Number 3: Fermi-level density of states 2.0 states/eV per cell, VASP energy -6.044 eV per atom, magnetic moment 0.0 μB/f.u.. Number 4: Fermi-level density of states 4.0 states/eV per cell, VASP energy -3.089 eV per atom, magnetic moment 0.0 μB/f.u.. Number 5: Fermi-level density of states 0.0 states/eV per cell, VASP energy -4.664 eV per atom, magnetic moment 0.0 μB/f.u.. Number 6: Fermi-level density of states 4.9 states/eV per cell, VASP energy -3.888 eV per atom, magnetic moment 0.0 μB/f.u..